Record 1
4
Lattice="3.274 -4.093 0.000 3.274 4.093 0.000 0.000 0.000 4.027" Properties=species:S:1:pos:R:3 comment="PBE MgHgTe2, optimized geometry" vol_a3_per_atom=26.989 e_form_raw_kcal_per_mol_atoms=-1.84 e_above_lowest_polymorph_ev_per_atom=0.433 rho_g_cm3=7.38 magmom_total_mub_per_atom=0.000 pbc="T T T"
Mg 0.000 0.000 0.000
Hg 3.274 0.000 0.000
Te 1.637 2.047 2.014
Te 1.637 -2.047 2.014


Record 2
4
Lattice="1.649 0.952 13.060 -1.649 0.952 13.060 0.000 -1.904 13.060" Properties=species:S:1:pos:R:3 comment="PBE MgHgTe2, optimized geometry" vol_a3_per_atom=30.738 e_form_raw_kcal_per_mol_atoms=2.31 e_above_lowest_polymorph_ev_per_atom=0.613 rho_g_cm3=6.48 magmom_total_mub_per_atom=0.000 pbc="T T T"
Mg 0.000 0.000 0.000
Hg 0.000 0.000 19.590
Te 0.000 0.000 2.925
Te 0.000 0.000 36.254


Record 3
4
Lattice="4.665 0.000 0.000 -2.333 4.040 0.000 0.000 0.000 7.340" Properties=species:S:1:pos:R:3 comment="PBE MgHgTe2, optimized geometry" vol_a3_per_atom=34.590 e_form_raw_kcal_per_mol_atoms=-9.06 e_above_lowest_polymorph_ev_per_atom=0.120 rho_g_cm3=5.76 magmom_total_mub_per_atom=0.000 pbc="T T T"
Mg 0.000 0.000 0.000
Hg 2.333 1.347 3.703
Te 0.000 0.000 2.921
Te 0.000 2.694 6.541


Record 4
16
Lattice="7.614 0.000 0.000 0.000 5.042 0.000 -5.291 0.000 14.031" Properties=species:S:1:pos:R:3 comment="PBE MgHgTe2, optimized geometry" vol_a3_per_atom=33.666 e_form_raw_kcal_per_mol_atoms=-10.29 e_above_lowest_polymorph_ev_per_atom=0.067 rho_g_cm3=5.92 magmom_total_mub_per_atom=0.000 pbc="T T T"
Mg 0.576 1.224 3.500
Mg -2.070 1.297 10.515
Mg 4.393 3.745 3.516
Mg 1.748 3.818 10.531
Hg -0.735 3.774 7.018
Hg 1.911 3.788 0.003
Hg 0.413 1.253 14.028
Hg 3.058 1.268 7.013
Te -4.236 0.487 12.137
Te -1.590 2.034 5.121
Te 0.109 0.477 8.916
Te 2.755 2.044 1.900
Te -0.431 2.998 12.131
Te 2.214 4.564 5.115
Te 3.914 3.008 8.910
Te 6.559 4.555 1.894


Record 5
16
Lattice="7.047 0.000 0.000 0.000 8.597 0.000 0.000 0.000 7.488" Properties=species:S:1:pos:R:3 comment="PBE MgHgTe2, optimized geometry" vol_a3_per_atom=28.356 e_form_raw_kcal_per_mol_atoms=-8.12 e_above_lowest_polymorph_ev_per_atom=0.161 rho_g_cm3=7.03 magmom_total_mub_per_atom=0.000 pbc="T T T"
Mg 0.000 1.020 1.872
Mg 0.000 7.577 5.616
Mg 3.524 3.279 5.616
Mg 3.524 5.319 1.872
Hg 0.000 3.418 5.616
Hg 0.000 5.179 1.872
Hg 3.524 0.880 1.872
Hg 3.524 7.717 5.616
Te 1.674 1.167 4.397
Te 1.674 7.430 0.653
Te 1.850 3.132 0.653
Te 1.850 5.466 4.397
Te 5.197 3.132 3.091
Te 5.197 5.466 6.835
Te 5.373 1.167 6.835
Te 5.373 7.430 3.091


Record 6
4
Lattice="4.668 0.000 0.000 0.000 4.669 0.000 -0.001 0.000 6.523" Properties=species:S:1:pos:R:3 comment="PBE MgHgTe2, optimized geometry" vol_a3_per_atom=35.543 e_form_raw_kcal_per_mol_atoms=-11.77 e_above_lowest_polymorph_ev_per_atom=0.002 rho_g_cm3=5.61 magmom_total_mub_per_atom=0.000 pbc="T T T"
Mg 0.000 0.000 0.000
Hg 2.349 2.335 3.261
Te 0.012 2.335 4.945
Te 2.335 0.000 1.578